1.
{"formula": "Be2ReP", "functional": "PBE-GGA", "state": "relaxed", "dft_energy_ev_per_cell": -24.09, "e_above_lowest_polymorph_mev_per_atom": 457.0, "delta_e_f_ev_per_atom": 0.306, "lattice_angstrom": [[0.000, 2.821, 2.821], [2.821, 0.000, 2.821], [2.821, 2.821, 0.000]], "species": ["Be", "Be", "Re", "P"], "frac_coords": [[0.000, 0.000, 0.000], [0.250, 0.250, 0.250], [0.750, 0.750, 0.750], [0.500, 0.500, 0.500]]}


2.
{"formula": "Zr5TlGa2", "functional": "PBE-GGA", "state": "relaxed", "dft_energy_ev_per_cell": -107.95, "delta_e_f_ev_per_atom": -0.352, "lattice_angstrom": [[-3.679, 3.679, 6.320], [3.679, -3.679, 6.320], [3.679, 3.679, -6.320]], "species": ["Zr", "Zr", "Zr", "Zr", "Zr", "Zr", "Zr", "Zr", "Zr", "Zr", "Tl", "Tl", "Ga", "Ga", "Ga", "Ga"], "frac_coords": [[0.000, 0.000, 0.000], [0.008, 0.508, 0.814], [0.194, 0.008, 0.500], [0.306, 0.806, 0.814], [0.492, 0.306, 0.500], [0.500, 0.500, 0.000], [0.508, 0.694, 0.500], [0.694, 0.194, 0.186], [0.806, 0.992, 0.500], [0.992, 0.492, 0.186], [0.250, 0.250, 0.000], [0.750, 0.750, 0.000], [0.139, 0.361, 0.500], [0.361, 0.861, 0.222], [0.639, 0.139, 0.778], [0.861, 0.639, 0.500]]}


3.
{"formula": "MgZnAs2", "functional": "PBE-GGA", "state": "relaxed", "dft_energy_ev_per_cell": -24.33, "e_above_lowest_polymorph_mev_per_atom": 100.1, "delta_e_f_ev_per_atom": 0.000, "lattice_angstrom": [[-3.133, 3.133, 5.048], [3.133, -3.133, 5.048], [3.133, 3.133, -5.048]], "species": ["Mg", "Mg", "Zn", "Zn", "As", "As", "As", "As"], "frac_coords": [[0.000, 0.000, 0.000], [0.750, 0.250, 0.500], [0.250, 0.750, 0.500], [0.500, 0.500, 0.000], [0.152, 0.625, 0.027], [0.375, 0.402, 0.527], [0.598, 0.125, 0.973], [0.875, 0.848, 0.473]]}


4.
{"formula": "Tb2Tm2Th3", "functional": "PBE-GGA", "state": "relaxed", "dft_energy_ev_per_cell": -39.49, "e_above_lowest_polymorph_mev_per_atom": 0.0, "delta_e_f_ev_per_atom": 0.140, "lattice_angstrom": [[8.681, -1.729, 0.000], [8.681, 1.729, 0.000], [-3.873, 0.000, 7.483]], "species": ["Tb", "Tb", "Tm", "Tm", "Th", "Th", "Th"], "frac_coords": [[0.069, 0.069, 0.405], [0.931, 0.931, 0.595], [0.352, 0.352, 0.165], [0.648, 0.648, 0.835], [0.287, 0.287, 0.707], [0.500, 0.500, 0.000], [0.713, 0.713, 0.293]]}


5.
{"formula": "ReAg2W2", "functional": "PBE-GGA", "state": "relaxed", "dft_energy_ev_per_cell": -75.57, "e_above_lowest_polymorph_mev_per_atom": 0.0, "delta_e_f_ev_per_atom": 1.254, "lattice_angstrom": [[7.098, 0.000, 0.000], [0.000, 7.098, 0.000], [0.000, 0.000, 3.294]], "species": ["Re", "Re", "Ag", "Ag", "Ag", "Ag", "W", "W", "W", "W"], "frac_coords": [[0.000, 0.000, 0.000], [0.500, 0.500, 0.000], [0.129, 0.371, 0.000], [0.371, 0.871, 0.000], [0.629, 0.129, 0.000], [0.871, 0.629, 0.000], [0.174, 0.674, 0.500], [0.326, 0.174, 0.500], [0.674, 0.826, 0.500], [0.826, 0.326, 0.500]]}


6.
{"formula": "Sr2InBi5", "functional": "PBE-GGA", "state": "relaxed", "dft_energy_ev_per_cell": -28.94, "delta_e_f_ev_per_atom": -0.429, "lattice_angstrom": [[0.000, 5.141, 4.961], [5.067, 0.000, 4.961], [5.067, 5.141, 0.000]], "species": ["Sr", "Sr", "In", "Bi", "Bi", "Bi", "Bi", "Bi"], "frac_coords": [[0.000, 0.000, 0.500], [0.500, 0.500, 0.000], [0.002, 0.002, 0.998], [0.000, 0.500, 0.500], [0.499, 0.499, 0.501], [0.500, 0.000, 0.000], [0.501, 0.999, 0.499], [0.999, 0.501, 0.001]]}